K3RbCr2F9 after structural relaxation. Source: Alexandria via LeMat-Bulk, functional PBE with a Hubbard U.

Lattice parameters (Å, degrees): 5.962 5.962 8.643 90.00 90.00 120.00
Element x y z (fractional)
K: 0.000 0.000 0.000
K: 0.333 0.667 0.736
K: 0.667 0.333 0.264
Rb: 0.000 0.000 0.500
Cr: 0.333 0.667 0.141
Cr: 0.667 0.333 0.859
F: 0.000 0.500 0.000
F: 0.174 0.348 0.266
F: 0.174 0.826 0.266
F: 0.348 0.174 0.734
F: 0.500 0.000 0.000
F: 0.500 0.500 0.000
F: 0.652 0.826 0.266
F: 0.826 0.174 0.734
F: 0.826 0.652 0.734

Output
* theoretical density: 3.0 Mg/m³
* total magnetization: 7.000 μB/cell
* space-group type: P-3m1, No. 164
* E: -5.125 eV per atom